1.
The following is a PBE-GGA calculation of a relaxed structure of SrPtRh2, from the Alexandria database.

calculated density	11.509	g/cm3
M_tot	0.00	Bohr magnetons per cell
energy above the lowest structure with this stoichiometry	27.2	kJ/mol of atoms
DOS at the Fermi energy	9.12	states/eV/cell
energy relative to the elements	0.058	eV per atom

Cell: 5.929 8.105 2.934 Å, 90.00 90.00 90.00°
Space group Cmmm (No. 65)
Unique sites:
Sr 0.000 0.000 0.000 (multiplicity 2)
Pt 0.000 0.500 0.000 (multiplicity 2)
Rh 0.250 0.250 0.500 (multiplicity 4)



2.
The following is a PBE-GGA calculation of a relaxed structure of Sr2PtRh2, from the Alexandria database.

calculated density	8.543	g/cm3
M_tot	0.00	Bohr magnetons per cell
DOS at the Fermi energy	1.18	states/eV/cell
energy relative to the elements	-0.326	eV per atom

Cell: 6.952 6.952 4.634 Å, 90.00 90.00 90.00°
Space group P4/mbm (No. 127)
Unique sites:
Sr 0.182 0.318 0.000 (multiplicity 4)
Pt 0.000 0.000 0.500 (multiplicity 2)
Rh 0.127 0.627 0.500 (multiplicity 4)



3.
The following is a PBE-GGA calculation of a relaxed structure of SrPtRh2, from the Alexandria database.

calculated density	11.307	g/cm3
M_tot	0.00	Bohr magnetons per cell
energy above the lowest structure with this stoichiometry	32.3	kJ/mol of atoms
DOS at the Fermi energy	7.89	states/eV/cell
energy relative to the elements	0.111	eV per atom

Cell: 5.752 9.771 2.880 Å, 90.00 117.58 90.00°
Space group C2/m (No. 12)
Unique sites:
Sr 0.000 0.000 0.000 (multiplicity 2)
Pt 0.000 0.500 0.000 (multiplicity 2)
Rh 0.250 0.250 0.500 (multiplicity 4)



4.
The following is a PBE-GGA calculation of a relaxed structure of SrPt2Rh, from the Alexandria database.

calculated density	12.821	g/cm3
M_tot	0.00	Bohr magnetons per cell
DOS at the Fermi energy	5.42	states/eV/cell
energy relative to the elements	-0.065	eV per atom

Cell: 2.934 4.722 5.559 Å, 90.00 102.41 90.00°
Space group P2/m (No. 10)
Unique sites:
Sr 0.000 0.000 0.000 (multiplicity 1)
Pt 0.347 0.500 0.715 (multiplicity 2)
Rh 0.500 0.000 0.500 (multiplicity 1)



5.
The following is a PBE-GGA calculation of a relaxed structure of Sr2PtRh, from the Alexandria database.

calculated density	6.766	g/cm3
M_tot	0.00	Bohr magnetons per cell
DOS at the Fermi energy	3.34	states/eV/cell
energy relative to the elements	-0.162	eV per atom

Cell: 3.671 3.671 8.619 Å, 90.00 90.00 90.00°
Space group P4mm (No. 99)
Unique sites:
Sr 0.000 0.000 0.000 (multiplicity 1)
Sr 0.500 0.500 0.435 (multiplicity 1)
Pt 0.000 0.000 0.666 (multiplicity 1)
Rh 0.500 0.500 0.761 (multiplicity 1)



6.
The following is a PBE-GGA calculation of a relaxed structure of SrPt2Rh, from the Alexandria database.

calculated density	12.158	g/cm3
M_tot	0.00	Bohr magnetons per cell
DOS at the Fermi energy	8.91	states/eV/cell
energy relative to the elements	-0.110	eV per atom

Cell: 9.385 3.098 5.560 Å, 90.00 101.09 90.00°
Space group Cm (No. 8)
Unique sites:
Sr 0.000 0.000 0.000 (multiplicity 2)
Pt 0.237 0.000 0.700 (multiplicity 2)
Pt 0.498 0.000 0.484 (multiplicity 2)
Rh 0.264 0.500 0.333 (multiplicity 2)



7.
The following is a PBE-GGA calculation of a relaxed structure of Sr2PtRh, from the Alexandria database.

calculated density	8.575	g/cm3
M_tot	0.00	Bohr magnetons per cell
DOS at the Fermi energy	19.87	states/eV/cell
energy relative to the elements	-0.099	eV per atom

Cell: 7.157 7.157 7.157 Å, 90.00 90.00 90.00°
Space group F-43m (No. 216)
Unique sites:
Sr 0.000 0.000 0.000 (multiplicity 4)
Sr 0.250 0.250 0.250 (multiplicity 4)
Pt 0.250 0.250 0.750 (multiplicity 4)
Rh 0.000 0.000 0.500 (multiplicity 4)



8.
The following is a PBE-GGA calculation of a relaxed structure of SrPt2Rh, from the Alexandria database.

calculated density	12.658	g/cm3
M_tot	0.00	Bohr magnetons per cell
DOS at the Fermi energy	9.10	states/eV/cell
energy relative to the elements	-0.068	eV per atom

Cell: 3.846 4.556 8.697 Å, 90.00 90.00 90.00°
Space group Imm2 (No. 44)
Unique sites:
Sr 0.000 0.000 0.000 (multiplicity 2)
Pt 0.000 0.000 0.505 (multiplicity 2)
Pt 0.000 0.500 0.772 (multiplicity 2)
Rh 0.000 0.500 0.229 (multiplicity 2)



9.
The following is a PBE-GGA calculation of a relaxed structure of Sr2PtRh, from the Alexandria database.

calculated density	7.781	g/cm3
M_tot	0.00	Bohr magnetons per cell
DOS at the Fermi energy	9.11	states/eV/cell
energy relative to the elements	-0.113	eV per atom

Cell: 7.997 7.997 6.317 Å, 90.00 90.00 90.00°
Space group I-42d (No. 122)
Unique sites:
Sr 0.241 0.250 0.125 (multiplicity 8)
Pt 0.000 0.000 0.500 (multiplicity 4)
Rh 0.000 0.000 0.000 (multiplicity 4)



10.
The following is a PBE-GGA calculation of a relaxed structure of Sr2PtRh, from the Alexandria database.

calculated density	8.085	g/cm3
M_tot	0.00	Bohr magnetons per cell
DOS at the Fermi energy	3.56	states/eV/cell
energy relative to the elements	-0.361	eV per atom

Cell: 7.133 7.243 3.763 Å, 90.00 90.00 90.00°
Space group Cmmm (No. 65)
Unique sites:
Sr 0.250 0.250 0.000 (multiplicity 4)
Pt 0.000 0.000 0.500 (multiplicity 2)
Rh 0.000 0.500 0.500 (multiplicity 2)



11.
The following is a PBE-GGA calculation of a relaxed structure of SrPt2Rh, from the Alexandria database.

calculated density	12.927	g/cm3
M_tot	1.43	Bohr magnetons per cell
DOS at the Fermi energy	9.49	states/eV/cell
energy relative to the elements	-0.070	eV per atom

Cell: 4.185 4.214 8.460 Å, 90.00 90.00 90.00°
Space group Immm (No. 71)
Unique sites:
Sr 0.000 0.000 0.000 (multiplicity 2)
Pt 0.000 0.500 0.249 (multiplicity 4)
Rh 0.000 0.000 0.500 (multiplicity 2)



12.
The following is a PBE-GGA calculation of a relaxed structure of SrPt2Rh, from the Alexandria database.

calculated density	13.174	g/cm3
M_tot	4.50	Bohr magnetons per cell
DOS at the Fermi energy	16.62	states/eV/cell
energy relative to the elements	0.287	eV per atom

Cell: 2.9772 2.9772 28.6052 Å, 90.00 90.00 120.00°
Space group R-3m (No. 166, hexagonal axes)
Unique sites:
Sr 0.0000 0.0000 0.0000 (multiplicity 3)
Pt 0.0000 0.0000 0.2434 (multiplicity 6)
Rh 0.0000 0.0000 0.5000 (multiplicity 3)



13.
The following is a PBE-GGA calculation of a relaxed structure of SrPt2Rh, from the Alexandria database.

calculated density	12.374	g/cm3
M_tot	0.00	Bohr magnetons per cell
DOS at the Fermi energy	8.48	states/eV/cell
energy relative to the elements	-0.073	eV per atom

Cell: 9.236 2.968 5.760 Å, 90.00 99.22 90.00°
Space group C2/m (No. 12)
Unique sites:
Sr 0.000 0.000 0.000 (multiplicity 2)
Pt 0.238 0.000 0.692 (multiplicity 4)
Rh 0.000 0.500 0.500 (multiplicity 2)



14.
The following is a PBE-GGA calculation of a relaxed structure of SrPt2Rh, from the Alexandria database.

calculated density	12.809	g/cm3
M_tot	3.55	Bohr magnetons per cell
DOS at the Fermi energy	28.94	states/eV/cell
energy relative to the elements	0.014	eV per atom

Cell: 6.703 6.703 6.703 Å, 90.00 90.00 90.00°
Space group F-43m (No. 216)
Unique sites:
Sr 0.000 0.000 0.000 (multiplicity 4)
Pt 0.000 0.000 0.500 (multiplicity 4)
Pt 0.250 0.250 0.250 (multiplicity 4)
Rh 0.250 0.250 0.750 (multiplicity 4)



15.
The following is a PBE-GGA calculation of a relaxed structure of Sr5PtRh, from the Alexandria database.

calculated density	4.334	g/cm3
M_tot	0.00	Bohr magnetons per cell
DOS at the Fermi energy	19.03	states/eV/cell
energy relative to the elements	-0.277	eV per atom

Cell: 11.288 9.438 11.355 Å, 90.00 111.16 90.00°
Space group C2/c (No. 15)
Unique sites:
Sr 0.000 0.250 0.250 (multiplicity 4)
Sr 0.102 0.174 0.645 (multiplicity 8)
Sr 0.182 0.458 0.013 (multiplicity 8)
Pt 0.000 0.424 0.750 (multiplicity 4)
Rh 0.250 0.250 0.500 (multiplicity 4)



16.
The following is a PBE-GGA calculation of a relaxed structure of SrPtRh2, from the Alexandria database.

calculated density	8.943	g/cm3
M_tot	0.00	Bohr magnetons per cell
energy above the lowest structure with this stoichiometry	0.0	kJ/mol of atoms
DOS at the Fermi energy	11.61	states/eV/cell
energy relative to the elements	-0.224	eV per atom

Cell: 7.781 4.491 5.796 Å, 90.00 116.40 90.00°
Space group C2/m (No. 12)
Unique sites:
Sr 0.000 0.000 0.000 (multiplicity 2)
Pt 0.000 0.500 0.500 (multiplicity 2)
Rh 0.187 0.000 0.562 (multiplicity 4)



17.
The following is a PBE-GGA calculation of a relaxed structure of SrPt2Rh, from the Alexandria database.

calculated density	13.054	g/cm3
M_tot	1.14	Bohr magnetons per cell
DOS at the Fermi energy	18.35	states/eV/cell
energy relative to the elements	0.352	eV per atom

Cell: 3.0170 3.0170 28.1117 Å, 90.00 90.00 120.00°
Space group R3m (No. 160, hexagonal axes)
Unique sites:
Sr 0.0000 0.0000 0.0000 (multiplicity 3)
Pt 0.0000 0.0000 0.5028 (multiplicity 3)
Pt 0.0000 0.0000 0.7576 (multiplicity 3)
Rh 0.0000 0.0000 0.2432 (multiplicity 3)



18.
The following is a PBE-GGA calculation of a relaxed structure of SrPtRh2, from the Alexandria database.

calculated density	10.811	g/cm3
M_tot	0.00	Bohr magnetons per cell
energy above the lowest structure with this stoichiometry	27.7	kJ/mol of atoms
DOS at the Fermi energy	4.28	states/eV/cell
energy relative to the elements	0.063	eV per atom

Cell: 2.922 4.697 5.553 Å, 90.00 100.05 90.00°
Space group P2/m (No. 10)
Unique sites:
Sr 0.000 0.000 0.000 (multiplicity 1)
Pt 0.500 0.000 0.500 (multiplicity 1)
Rh 0.321 0.500 0.701 (multiplicity 2)



19.
The following is a PBE-GGA calculation of a relaxed structure of SrPtRh2, from the Alexandria database.

calculated density	10.561	g/cm3
M_tot	0.00	Bohr magnetons per cell
energy above the lowest structure with this stoichiometry	32.3	kJ/mol of atoms
DOS at the Fermi energy	7.30	states/eV/cell
energy relative to the elements	0.111	eV per atom

Cell: 3.378 3.378 6.732 Å, 90.00 90.00 90.00°
Space group P4/mmm (No. 123)
Unique sites:
Sr 0.000 0.000 0.000 (multiplicity 1)
Pt 0.000 0.000 0.500 (multiplicity 1)
Rh 0.500 0.500 0.305 (multiplicity 2)



20.
The following is a PBE-GGA calculation of a relaxed structure of SrPt3Rh, from the Alexandria database.

calculated density	9.666	g/cm3
M_tot	1.42	Bohr magnetons per cell
energy above the lowest structure with this stoichiometry	160.6	kJ/mol of atoms
DOS at the Fermi energy	7.63	states/eV/cell
energy relative to the elements	1.962	eV per atom

Cell: 5.108 5.108 5.108 Å, 90.00 90.00 90.00°
Space group Pm-3m (No. 221)
Unique sites:
Sr 0.000 0.000 0.000 (multiplicity 1)
Pt 0.000 0.000 0.500 (multiplicity 3)
Rh 0.500 0.500 0.500 (multiplicity 1)



21.
The following is a PBE-GGA calculation of a relaxed structure of SrPtRh2, from the Alexandria database.

calculated density	10.880	g/cm3
M_tot	7.55	Bohr magnetons per cell
energy above the lowest structure with this stoichiometry	37.7	kJ/mol of atoms
DOS at the Fermi energy	20.78	states/eV/cell
energy relative to the elements	0.167	eV per atom

Cell: 6.681 6.681 6.681 Å, 90.00 90.00 90.00°
Space group F-43m (No. 216)
Unique sites:
Sr 0.000 0.000 0.000 (multiplicity 4)
Pt 0.250 0.250 0.250 (multiplicity 4)
Rh 0.000 0.000 0.500 (multiplicity 4)
Rh 0.250 0.250 0.750 (multiplicity 4)



22.
The following is a PBE-GGA calculation of a relaxed structure of SrPtRh2, from the Alexandria database.

calculated density	10.601	g/cm3
M_tot	0.00	Bohr magnetons per cell
energy above the lowest structure with this stoichiometry	25.1	kJ/mol of atoms
DOS at the Fermi energy	6.13	states/eV/cell
energy relative to the elements	0.036	eV per atom

Cell: 3.238 3.238 7.297 Å, 90.00 90.00 90.00°
Space group P4mm (No. 99)
Unique sites:
Sr 0.000 0.000 0.000 (multiplicity 1)
Pt 0.500 0.500 0.301 (multiplicity 1)
Rh 0.000 0.000 0.506 (multiplicity 1)
Rh 0.500 0.500 0.686 (multiplicity 1)



23.
The following is a PBE-GGA calculation of a relaxed structure of SrPt3Rh, from the Alexandria database.

calculated density	10.816	g/cm3
M_tot	2.22	Bohr magnetons per cell
energy above the lowest structure with this stoichiometry	0.0	kJ/mol of atoms
DOS at the Fermi energy	5.25	states/eV/cell
energy relative to the elements	0.297	eV per atom

Cell: 4.920 4.920 4.920 Å, 90.00 90.00 90.00°
Space group Pm-3m (No. 221)
Unique sites:
Sr 0.000 0.000 0.000 (multiplicity 1)
Pt 0.000 0.500 0.500 (multiplicity 3)
Rh 0.500 0.500 0.500 (multiplicity 1)



24.
The following is a PBE-GGA calculation of a relaxed structure of Sr8Pt2Rh, from the Alexandria database.

calculated density	4.592	g/cm3
M_tot	0.00	Bohr magnetons per cell
DOS at the Fermi energy	12.20	states/eV/cell
energy relative to the elements	-0.447	eV per atom

Cell: 13.094 9.544 7.269 Å, 90.00 108.07 90.00°
Space group C2/m (No. 12)
Unique sites:
Sr 0.075 0.000 0.264 (multiplicity 4)
Sr 0.136 0.500 0.249 (multiplicity 4)
Sr 0.148 0.297 0.758 (multiplicity 8)
Pt 0.182 0.000 0.944 (multiplicity 4)
Rh 0.000 0.500 0.500 (multiplicity 2)



25.
The following is a PBE-GGA calculation of a relaxed structure of Sr2PtRh, from the Alexandria database.

calculated density	6.993	g/cm3
M_tot	0.00	Bohr magnetons per cell
DOS at the Fermi energy	5.83	states/eV/cell
energy relative to the elements	-0.499	eV per atom

Cell: 4.631 4.591 10.572 Å, 90.00 90.00 90.00°
Space group Amm2 (No. 38)
Unique sites:
Sr 0.000 0.000 0.000 (multiplicity 2)
Sr 0.500 0.000 0.286 (multiplicity 2)
Pt 0.000 0.000 0.696 (multiplicity 2)
Rh 0.500 0.000 0.597 (multiplicity 2)



26.
The following is a PBE-GGA calculation of a relaxed structure of SrPt2Rh, from the Alexandria database.

calculated density	9.330	g/cm3
M_tot	0.00	Bohr magnetons per cell
DOS at the Fermi energy	12.05	states/eV/cell
energy relative to the elements	-0.139	eV per atom

Cell: 4.842 4.842 17.632 Å, 90.00 90.00 90.00°
Space group I-42d (No. 122)
Unique sites:
Sr 0.000 0.000 0.000 (multiplicity 4)
Pt 0.066 0.250 0.625 (multiplicity 8)
Rh 0.000 0.000 0.500 (multiplicity 4)



27.
The following is a PBE-GGA calculation of a relaxed structure of Sr2PtRh, from the Alexandria database.

calculated density	8.174	g/cm3
M_tot	0.00	Bohr magnetons per cell
DOS at the Fermi energy	8.71	states/eV/cell
energy relative to the elements	-0.205	eV per atom

Cell: 4.352 4.352 10.152 Å, 90.00 90.00 90.00°
Space group I-4m2 (No. 119)
Unique sites:
Sr 0.000 0.000 0.000 (multiplicity 2)
Sr 0.000 0.500 0.250 (multiplicity 2)
Pt 0.000 0.500 0.750 (multiplicity 2)
Rh 0.000 0.000 0.500 (multiplicity 2)



28.
The following is a PBE-GGA calculation of a relaxed structure of SrPt2Rh, from the Alexandria database.

calculated density	13.300	g/cm3
M_tot	0.00	Bohr magnetons per cell
DOS at the Fermi energy	7.28	states/eV/cell
energy relative to the elements	-0.153	eV per atom

Cell: 5.908 8.278 2.965 Å, 90.00 90.00 90.00°
Space group Cmmm (No. 65)
Unique sites:
Sr 0.000 0.000 0.000 (multiplicity 2)
Pt 0.250 0.250 0.500 (multiplicity 4)
Rh 0.000 0.500 0.000 (multiplicity 2)



29.
The following is a PBE-GGA calculation of a relaxed structure of Sr2PtRh, from the Alexandria database.

calculated density	7.223	g/cm3
M_tot	0.00	Bohr magnetons per cell
DOS at the Fermi energy	2.81	states/eV/cell
energy relative to the elements	-0.094	eV per atom

Cell: 4.197 4.197 6.176 Å, 90.00 90.00 90.00°
Space group P4mm (No. 99)
Unique sites:
Sr 0.000 0.000 0.000 (multiplicity 1)
Sr 0.500 0.500 0.417 (multiplicity 1)
Pt 0.000 0.000 0.517 (multiplicity 1)
Rh 0.500 0.500 0.892 (multiplicity 1)